Model P:
Material: Cs2K2Cl
Method: DFT, PBE
State: relaxed

Cell and atoms, written as POSCAR:
```
Cs2K2Cl
1.0
9.3163 0.0000 0.0000
0.0000 9.3163 0.0000
0.0000 0.0000 9.0772
Cs K Cl
4 4 2
Direct
0.1977 0.3023 0.0000 Cs
0.3023 0.8023 0.0000 Cs
0.6977 0.1977 0.0000 Cs
0.8023 0.6977 0.0000 Cs
0.1681 0.6681 0.5000 K
0.3319 0.1681 0.5000 K
0.6681 0.8319 0.5000 K
0.8319 0.3319 0.5000 K
0.0000 0.0000 0.0000 Cl
0.5000 0.5000 0.0000 Cl
```

Properties
Symmetry   P4/mbm, No. 127
Spin magnetization   0.00 μB per formula unit

---

Model Q:
Material: Cs2K2Cl
Method: DFT, PBE
State: relaxed

Cell and atoms, written as POSCAR:
```
Cs2K2Cl
1.0
9.0299 0.0000 0.0000
0.0000 9.0299 0.0000
0.0000 0.0000 9.2011
Cs K Cl
4 4 2
Direct
0.1836 0.3164 0.0000 Cs
0.3164 0.8164 0.0000 Cs
0.6836 0.1836 0.0000 Cs
0.8164 0.6836 0.0000 Cs
0.2056 0.7056 0.5000 K
0.2944 0.2056 0.5000 K
0.7056 0.7944 0.5000 K
0.7944 0.2944 0.5000 K
0.0000 0.0000 0.5000 Cl
0.5000 0.5000 0.5000 Cl
```

Properties
Symmetry   P4/mbm, No. 127
Spin magnetization   0.00 μB per formula unit

---

Most stable to least stable, the ends of the list are model P and model Q.

---

Model P:
Material: CsK4Cl5
Method: DFT, PBE
State: relaxed

Cell and atoms, written as POSCAR:
```
CsK4Cl5
1.0
-2.2953 3.2850 11.5619
2.2953 -3.2850 11.5619
2.2953 3.2850 -11.5619
Cs K Cl
1 4 5
Direct
0.0000 0.0000 0.0000 Cs
0.2049 0.2049 0.0000 K
0.3956 0.3956 0.0000 K
0.6044 0.6044 0.0000 K
0.7951 0.7951 0.0000 K
0.1109 0.6109 0.5000 Cl
0.3011 0.8011 0.5000 Cl
0.5000 0.0000 0.5000 Cl
0.6989 0.1989 0.5000 Cl
0.8891 0.3891 0.5000 Cl
```

Properties
Symmetry   Immm, No. 71
Spin magnetization   0.00 μB per formula unit

---

Model Q:
Material: CsK4Cl5
Method: DFT, PBE
State: relaxed

Cell and atoms, written as POSCAR:
```
CsK4Cl5
1.0
-2.3216 2.3216 16.2909
2.3216 -2.3216 16.2909
2.3216 2.3216 -16.2909
Cs K Cl
1 4 5
Direct
0.0000 0.0000 0.0000 Cs
0.2019 0.2019 0.0000 K
0.3954 0.3954 0.0000 K
0.6046 0.6046 0.0000 K
0.7981 0.7981 0.0000 K
0.1054 0.1054 0.0000 Cl
0.2988 0.2988 0.0000 Cl
0.5000 0.5000 0.0000 Cl
0.7012 0.7012 0.0000 Cl
0.8946 0.8946 0.0000 Cl
```

Properties
Symmetry   I4/mmm, No. 139
Spin magnetization   0.00 μB per formula unit

---

Most stable to least stable, the ends of the list are model P and model Q.

---

Model P:
Material: CsK2Cl2
Method: DFT, PBE
State: relaxed

Cell and atoms, written as POSCAR:
```
CsK2Cl2
1.0
-2.9945 2.9945 8.5905
2.9945 -2.9945 8.5905
2.9945 2.9945 -8.5905
Cs K Cl
1 2 2
Direct
0.0000 0.0000 0.0000 Cs
0.2500 0.7500 0.5000 K
0.7500 0.2500 0.5000 K
0.2015 0.2015 0.0000 Cl
0.7985 0.7985 0.0000 Cl
```

Properties
Symmetry   I4/mmm, No. 139
Spin magnetization   0.00 μB per formula unit

---

Model Q:
Material: CsK2Cl2
Method: DFT, PBE
State: relaxed

Cell and atoms, written as POSCAR:
```
CsK2Cl2
1.0
-2.9357 2.9357 7.2962
2.9357 -2.9357 7.2962
2.9357 2.9357 -7.2962
Cs K Cl
1 2 2
Direct
0.0000 0.0000 0.0000 Cs
0.3158 0.3158 0.0000 K
0.6842 0.6842 0.0000 K
0.2500 0.7500 0.5000 Cl
0.7500 0.2500 0.5000 Cl
```

Properties
Symmetry   I4/mmm, No. 139
Spin magnetization   0.00 μB per formula unit

---

Most stable to least stable, the ends of the list are model P and model Q.

---

Model P:
Material: Cs3KCl
Method: DFT, PBE
State: relaxed

Cell and atoms, written as POSCAR:
```
Cs3KCl
1.0
7.1853 0.0000 0.0000
0.0000 7.1853 0.0000
0.0000 0.0000 7.1853
Cs K Cl
3 1 1
Direct
0.0000 0.0000 0.5000 Cs
0.0000 0.5000 0.0000 Cs
0.5000 0.0000 0.0000 Cs
0.5000 0.5000 0.5000 K
0.0000 0.0000 0.0000 Cl
```

Properties
Symmetry   Pm-3m, No. 221
Spin magnetization   0.00 μB per formula unit

---

Model Q:
Material: Cs3KCl
Method: DFT, PBE
State: relaxed

Cell and atoms, written as POSCAR:
```
Cs3KCl
1.0
8.3671 0.0000 0.0000
0.0000 8.3671 0.0000
0.0000 0.0000 8.3671
Cs K Cl
3 1 1
Direct
0.0000 0.0000 0.5000 Cs
0.0000 0.5000 0.0000 Cs
0.5000 0.0000 0.0000 Cs
0.0000 0.0000 0.0000 K
0.5000 0.5000 0.5000 Cl
```

Properties
Symmetry   Pm-3m, No. 221
Spin magnetization   0.01 μB per formula unit

---

Most stable to least stable, the ends of the list are model P and model Q.

---

Model P:
Material: CsK2Cl
Method: DFT, PBE
State: relaxed

Cell and atoms, written as POSCAR:
```
CsK2Cl
1.0
2.3862 1.3777 12.4445
-2.3862 1.3777 12.4445
0.0000 -2.7553 12.4445
Cs K Cl
1 2 1
Direct
0.0000 0.0000 0.0000 Cs
0.5473 0.5473 0.5473 K
0.7852 0.7852 0.7852 K
0.1661 0.1661 0.1661 Cl
```

Properties
Symmetry   R3m, No. 160
Spin magnetization   0.00 μB per formula unit

---

Model Q:
Material: CsK2Cl
Method: DFT, PBE
State: relaxed

Cell and atoms, written as POSCAR:
```
CsK2Cl
1.0
0.0000 4.9601 4.9601
4.9601 0.0000 4.9601
4.9601 4.9601 0.0000
Cs K Cl
1 2 1
Direct
0.0000 0.0000 0.0000 Cs
0.2500 0.2500 0.2500 K
0.7500 0.7500 0.7500 K
0.5000 0.5000 0.5000 Cl
```

Properties
Symmetry   Fm-3m, No. 225
Spin magnetization   0.00 μB per formula unit

---

Most stable to least stable, the ends of the list are model P and model Q.

---

Model P:
Material: Cs2KLiCl
Method: DFT, PBE
State: relaxed

Cell and atoms, written as POSCAR:
```
Cs2KLiCl
1.0
6.9406 0.0000 0.0000
0.0000 6.9406 0.0000
0.0000 0.0000 6.2571
Cs K Li Cl
2 1 1 1
Direct
0.0000 0.5000 0.0000 Cs
0.5000 0.0000 0.0000 Cs
0.0000 0.0000 0.5000 K
0.5000 0.5000 0.5000 Li
0.0000 0.0000 0.0000 Cl
```

Properties
Symmetry   P4/mmm, No. 123
Spin magnetization   0.00 μB per formula unit

---

Model Q:
Material: Cs2KLiCl
Method: DFT, PBE
State: relaxed

Cell and atoms, written as POSCAR:
```
Cs2KLiCl
1.0
7.9990 0.0000 0.0000
0.0000 7.9990 0.0000
0.0000 0.0000 4.8614
Cs K Li Cl
2 1 1 1
Direct
0.0000 0.5000 0.0000 Cs
0.5000 0.0000 0.0000 Cs
0.0000 0.0000 0.5000 K
0.5000 0.5000 0.5000 Li
0.5000 0.5000 0.0000 Cl
```

Properties
Symmetry   P4/mmm, No. 123
Spin magnetization   0.00 μB per formula unit

---

Most stable to least stable, the ends of the list are model P and model Q.

---

Model P:
Material: CsK2NaCl
Method: DFT, PBE
State: relaxed

Cell and atoms, written as POSCAR:
```
CsK2NaCl
1.0
6.2307 0.0000 0.0000
0.0000 6.2307 0.0000
0.0000 0.0000 7.7835
Cs K Na Cl
1 2 1 1
Direct
0.0000 0.0000 0.0000 Cs
0.0000 0.5000 0.5000 K
0.5000 0.0000 0.5000 K
0.5000 0.5000 0.0000 Na
0.5000 0.5000 0.5000 Cl
```

Properties
Symmetry   P4/mmm, No. 123
Spin magnetization   0.47 μB per formula unit

---

Model Q:
Material: CsK2NaCl
Method: DFT, PBE
State: relaxed

Cell and atoms, written as POSCAR:
```
CsK2NaCl
1.0
6.3410 0.0000 0.0000
0.0000 6.3410 0.0000
0.0000 0.0000 6.9846
Cs K Na Cl
1 2 1 1
Direct
0.0000 0.0000 0.0000 Cs
0.0000 0.5000 0.5000 K
0.5000 0.0000 0.5000 K
0.5000 0.5000 0.0000 Na
0.0000 0.0000 0.5000 Cl
```

Properties
Symmetry   P4/mmm, No. 123
Spin magnetization   0.00 μB per formula unit

---

Most stable to least stable, the ends of the list are model Q and model P.

---

Model P:
Material: Cs2KClO
Method: DFT, PBE
State: relaxed

Cell and atoms, written as POSCAR:
```
Cs2KClO
1.0
5.8937 0.0000 0.0000
0.0000 5.8937 0.0000
0.0000 0.0000 5.1834
Cs K Cl O
2 1 1 1
Direct
0.0000 0.5000 0.0000 Cs
0.5000 0.0000 0.0000 Cs
0.0000 0.0000 0.5000 K
0.5000 0.5000 0.5000 Cl
0.0000 0.0000 0.0000 O
```

Properties
Symmetry   P4/mmm, No. 123
Spin magnetization   0.00 μB per formula unit

---

Model Q:
Material: Cs2KClO
Method: DFT, PBE
State: relaxed

Cell and atoms, written as POSCAR:
```
Cs2KClO
1.0
2.1861 -7.5307 0.0000
2.1861 7.5307 0.0000
0.0000 0.0000 10.3530
Cs K Cl O
4 2 2 2
Direct
0.1242 0.8758 0.5532 Cs
0.1242 0.8758 0.9468 Cs
0.8758 0.1242 0.0532 Cs
0.8758 0.1242 0.4468 Cs
0.4339 0.5661 0.7500 K
0.5661 0.4339 0.2500 K
0.2205 0.7795 0.2500 Cl
0.7795 0.2205 0.7500 Cl
0.5000 0.5000 0.0000 O
0.5000 0.5000 0.5000 O
```

Properties
Symmetry   Cmcm, No. 63
Spin magnetization   0.08 μB per formula unit

---

Most stable to least stable, the ends of the list are model Q and model P.

---

Model P:
Material: CsKP2Cl
Method: DFT, PBE
State: relaxed

Cell and atoms, written as POSCAR:
```
CsKP2Cl
1.0
6.2658 0.0000 0.0000
0.0000 6.2658 0.0000
0.0000 0.0000 5.9320
Cs K P Cl
1 1 2 1
Direct
0.0000 0.0000 0.0000 Cs
0.5000 0.5000 0.5000 K
0.0000 0.5000 0.5000 P
0.5000 0.0000 0.5000 P
0.5000 0.5000 0.0000 Cl
```

Properties
Symmetry   P4/mmm, No. 123
Spin magnetization   5.00 μB per formula unit

---

Model Q:
Material: CsKP2Cl
Method: DFT, PBE
State: relaxed

Cell and atoms, written as POSCAR:
```
CsKP2Cl
1.0
6.1407 0.0000 0.0000
0.0000 6.1407 0.0000
0.0000 0.0000 6.4310
Cs K P Cl
1 1 2 1
Direct
0.0000 0.0000 0.0000 Cs
0.5000 0.5000 0.5000 K
0.0000 0.5000 0.0000 P
0.5000 0.0000 0.0000 P
0.0000 0.0000 0.5000 Cl
```

Properties
Symmetry   P4/mmm, No. 123
Spin magnetization   3.62 μB per formula unit

---

Most stable to least stable, the ends of the list are model P and model Q.

---

Model P:
Material: Cs2KRbCl
Method: DFT, PBE
State: relaxed

Cell and atoms, written as POSCAR:
```
Cs2KRbCl
1.0
7.2433 0.0000 0.0000
0.0000 7.2433 0.0000
0.0000 0.0000 6.7192
Cs K Rb Cl
2 1 1 1
Direct
0.0000 0.5000 0.0000 Cs
0.5000 0.0000 0.0000 Cs
0.0000 0.0000 0.5000 K
0.5000 0.5000 0.5000 Rb
0.0000 0.0000 0.0000 Cl
```

Properties
Symmetry   P4/mmm, No. 123
Spin magnetization   0.00 μB per formula unit

---

Model Q:
Material: Cs2KRbCl
Method: DFT, PBE
State: relaxed

Cell and atoms, written as POSCAR:
```
Cs2KRbCl
1.0
7.1489 0.0000 0.0000
0.0000 7.1489 0.0000
0.0000 0.0000 6.9109
Cs K Rb Cl
2 1 1 1
Direct
0.0000 0.5000 0.0000 Cs
0.5000 0.0000 0.0000 Cs
0.0000 0.0000 0.5000 K
0.5000 0.5000 0.5000 Rb
0.5000 0.5000 0.0000 Cl
```

Properties
Symmetry   P4/mmm, No. 123
Spin magnetization   0.00 μB per formula unit

---

Most stable to least stable, the ends of the list are model Q and model P.

---

Model P:
Material: CsKSCl2
Method: DFT, PBE
State: relaxed

Cell and atoms, written as POSCAR:
```
CsKSCl2
1.0
6.3910 0.0000 0.0000
0.0000 6.3910 0.0000
0.0000 0.0000 5.6810
Cs K S Cl
1 1 1 2
Direct
0.0000 0.0000 0.0000 Cs
0.5000 0.5000 0.5000 K
0.0000 0.0000 0.5000 S
0.0000 0.5000 0.0000 Cl
0.5000 0.0000 0.0000 Cl
```

Properties
Symmetry   P4/mmm, No. 123
Spin magnetization   1.04 μB per formula unit

---

Model Q:
Material: CsKSCl2
Method: DFT, PBE
State: relaxed

Cell and atoms, written as POSCAR:
```
CsKSCl2
1.0
6.0053 0.0000 0.0000
0.0000 6.0053 0.0000
0.0000 0.0000 5.8896
Cs K S Cl
1 1 1 2
Direct
0.0000 0.0000 0.0000 Cs
0.5000 0.5000 0.5000 K
0.5000 0.5000 0.0000 S
0.0000 0.5000 0.5000 Cl
0.5000 0.0000 0.5000 Cl
```

Properties
Symmetry   P4/mmm, No. 123
Spin magnetization   2.05 μB per formula unit

---

Most stable to least stable, the ends of the list are model Q and model P.

---

Model P:
Material: CsK2SbCl6
Method: DFT, PBE
State: relaxed

Cell and atoms, written as POSCAR:
```
CsK2SbCl6
1.0
3.9505 2.2808 6.9267
-3.9505 2.2808 6.9267
0.0000 -4.5617 6.9267
Cs K Sb Cl
1 2 1 6
Direct
0.0000 0.0000 0.0000 Cs
0.2787 0.2787 0.2787 K
0.7968 0.7968 0.7968 K
0.4830 0.4830 0.4830 Sb
0.1329 0.6527 0.4222 Cl
0.2436 0.5720 0.8380 Cl
0.4222 0.1329 0.6527 Cl
0.5720 0.8380 0.2436 Cl
0.6527 0.4222 0.1329 Cl
0.8380 0.2436 0.5720 Cl
```

Properties
Symmetry   R3, No. 146
Spin magnetization   0.00 μB per formula unit

---

Model Q:
Material: CsK2SbCl6
Method: DFT, PBE
State: relaxed

Cell and atoms, written as POSCAR:
```
CsK2SbCl6
1.0
0.0000 5.8996 5.8996
5.8996 0.0000 5.8996
5.8996 5.8996 0.0000
Cs K Sb Cl
1 2 1 6
Direct
0.0000 0.0000 0.0000 Cs
0.2500 0.2500 0.2500 K
0.7500 0.7500 0.7500 K
0.5000 0.5000 0.5000 Sb
0.2745 0.2745 0.7255 Cl
0.2745 0.7255 0.2745 Cl
0.2745 0.7255 0.7255 Cl
0.7255 0.2745 0.2745 Cl
0.7255 0.2745 0.7255 Cl
0.7255 0.7255 0.2745 Cl
```

Properties
Symmetry   Fm-3m, No. 225
Spin magnetization   0.00 μB per formula unit

---

Most stable to least stable, the ends of the list are model P and model Q.